Computed, not measured: a geometry-optimized Ca4Ag2Pt structure at the GGA-PBE level of DFT.

Cell: 8.373 8.373 8.373 Å, 141.58 141.58 55.47°
Sites, in units of the cell vectors:
Ca: 0.000 0.500 0.500
Ca: 0.190 0.190 0.000
Ca: 0.500 0.000 0.500
Ca: 0.810 0.810 0.000
Ag: 0.394 0.394 0.000
Ag: 0.606 0.606 0.000
Pt: 0.000 0.000 0.000

The total magnetization comes out at 0.00 μB per formula unit. The value obtained for the energy relative to the elements is -345 meV per atom. The value obtained for the excess energy over the best structure of this formula in the dataset is 94 meV per atom. As for the symmetry: I4/mmm (139).



Computed, not measured: a geometry-optimized IrOs3 structure at the GGA-PBE level of DFT.

Cell: 4.729 4.729 2.726 Å, 90.00 90.00 109.48°
Sites, in units of the cell vectors:
Ir: 0.000 0.000 0.000
Os: 0.000 0.500 0.500
Os: 0.500 0.000 0.500
Os: 0.500 0.500 0.000

The total magnetization comes out at 0.00 μB per formula unit. The value obtained for the energy relative to the elements is 98 meV per atom. As for the symmetry: Cmmm (65).



Computed, not measured: a geometry-optimized CeDy2Y structure at the GGA-PBE level of DFT.

Cell: 11.714 11.714 11.714 Å, 17.39 17.39 17.39°
Sites, in units of the cell vectors:
Ce: 0.000 0.000 0.000
Dy: 0.251 0.251 0.251
Dy: 0.417 0.417 0.417
Y: 0.834 0.834 0.834

The total magnetization comes out at 0.81 μB per formula unit. The value obtained for the energy relative to the elements is 58 meV per atom. The value obtained for the excess energy over the best structure of this formula in the dataset is 28 meV per atom. As for the symmetry: R3m (160).



Computed, not measured: a geometry-optimized Ca2Be3GaPt4 structure at the GGA-PBE level of DFT.

Cell: 4.075 4.075 9.866 Å, 90.00 90.00 90.00°
Sites, in units of the cell vectors:
Ca: 0.000 0.500 0.241
Ca: 0.500 0.000 0.759
Be: 0.000 0.500 0.883
Be: 0.500 0.000 0.117
Be: 0.500 0.500 0.500
Ga: 0.000 0.000 0.500
Pt: 0.000 0.000 0.000
Pt: 0.000 0.500 0.643
Pt: 0.500 0.000 0.357
Pt: 0.500 0.500 0.000

The total magnetization comes out at 0.00 μB per formula unit. The value obtained for the energy relative to the elements is -801 meV per atom. As for the symmetry: P-4m2 (115).



Computed, not measured: a geometry-optimized LaTb4Dy6 structure at the GGA-PBE level of DFT.

Cell: 8.463 8.463 8.463 Å, 125.56 125.56 80.61°
Sites, in units of the cell vectors:
La: 0.000 0.000 0.000
Tb: 0.259 0.259 0.668
Tb: 0.409 0.741 0.000
Tb: 0.591 0.591 0.332
Tb: 0.741 0.409 0.000
Dy: 0.000 0.500 0.500
Dy: 0.065 0.560 0.000
Dy: 0.440 0.440 0.505
Dy: 0.500 0.000 0.500
Dy: 0.560 0.065 0.000
Dy: 0.935 0.935 0.495

The total magnetization comes out at 0.00 μB per formula unit. The value obtained for the energy relative to the elements is 431 meV per atom. As for the symmetry: I-42m (121).



Computed, not measured: a geometry-optimized Cs2CdSeF6 structure at the GGA-PBE level of DFT.

Cell: 7.120 7.120 7.120 Å, 128.69 128.69 75.51°
Sites, in units of the cell vectors:
Cs: 0.250 0.750 0.500
Cs: 0.750 0.250 0.500
Cd: 0.000 0.000 0.000
Se: 0.500 0.500 0.000
F: 0.189 0.189 0.000
F: 0.268 0.268 0.535
F: 0.268 0.732 0.000
F: 0.732 0.268 0.000
F: 0.732 0.732 0.465
F: 0.811 0.811 0.000

The total magnetization comes out at 0.00 μB per formula unit. The uncorrected formation energy comes out at -2.1520 eV per atom. As for the symmetry: I4/mmm (139).



Computed, not measured: a geometry-optimized Gd2DyTc structure at the GGA-PBE level of DFT.

Cell: 3.463 3.463 8.918 Å, 90.00 90.00 90.00°
Sites, in units of the cell vectors:
Gd: 0.000 0.000 0.188
Gd: 0.000 0.000 0.812
Dy: 0.500 0.500 0.500
Tc: 0.500 0.500 0.000

The total magnetization comes out at 13.87 μB per formula unit. The value obtained for the energy relative to the elements is 56 meV per atom. As for the symmetry: P4/mmm (123).



Computed, not measured: a geometry-optimized Cs4RbI5 structure at the GGA-PBE level of DFT.

Cell: 14.522 14.522 14.522 Å, 158.22 148.97 38.23°
Sites, in units of the cell vectors:
Cs: 0.100 0.100 0.000
Cs: 0.303 0.303 0.000
Cs: 0.697 0.697 0.000
Cs: 0.900 0.900 0.000
Rb: 0.500 0.500 0.000
I: 0.000 0.500 0.500
I: 0.201 0.701 0.500
I: 0.406 0.906 0.500
I: 0.594 0.094 0.500
I: 0.799 0.299 0.500

The total magnetization comes out at 0.00 μB per formula unit. The uncorrected formation energy comes out at -1.5386 eV per atom. As for the symmetry: Immm (71).



Computed, not measured: a geometry-optimized CsZrAs2O8 structure at the GGA-PBE level of DFT.

Cell: 5.562 5.562 8.819 Å, 90.00 90.00 120.00°
Sites, in units of the cell vectors:
Cs: 0.000 0.000 0.000
Zr: 0.000 0.000 0.500
As: 0.333 0.667 0.705
As: 0.667 0.333 0.295
O: 0.098 0.341 0.641
O: 0.243 0.902 0.641
O: 0.333 0.667 0.898
O: 0.341 0.243 0.359
O: 0.659 0.757 0.641
O: 0.667 0.333 0.102
O: 0.757 0.098 0.359
O: 0.902 0.659 0.359

The total magnetization comes out at 1.07 μB per formula unit. The uncorrected formation energy comes out at -1.7550 eV per atom. As for the symmetry: P-3 (147).



Computed, not measured: a geometry-optimized KSeN2O structure at the GGA-PBE level of DFT.

Cell: 5.427 5.427 6.506 Å, 90.00 90.00 90.00°
Sites, in units of the cell vectors:
K: 0.000 0.000 0.000
Se: 0.000 0.000 0.500
N: 0.000 0.500 0.000
N: 0.500 0.000 0.000
O: 0.500 0.500 0.500

The total magnetization comes out at 2.35 μB per formula unit. The uncorrected formation energy comes out at 2.5257 eV per atom. As for the symmetry: P4/mmm (123).